Below is a relaxed structure of Np2P2H, with properties calculated at the GGA-PBE level.

Geometry as CIF:
```
data_Np2P2H
_cell_length_a 7.604
_cell_length_b 6.604
_cell_length_c 6.999
_cell_angle_alpha 90.00
_cell_angle_beta 90.00
_cell_angle_gamma 90.00
_symmetry_space_group_name_H-M 'P 1'
_symmetry_Int_Tables_number 1
loop_
_symmetry_equiv_pos_as_xyz
'x,y,z'
loop_
_atom_site_label
_atom_site_fract_x
_atom_site_fract_y
_atom_site_fract_z
_atom_site_occupancy
Np1 0.121 0.086 0.250 1
Np2 0.121 0.414 0.750 1
Np3 0.372 0.579 0.250 1
Np4 0.372 0.921 0.750 1
Np5 0.628 0.079 0.250 1
Np6 0.628 0.421 0.750 1
Np7 0.879 0.586 0.250 1
Np8 0.879 0.914 0.750 1
P1 0.131 0.750 0.000 1
P2 0.131 0.750 0.500 1
P3 0.380 0.250 0.000 1
P4 0.380 0.250 0.500 1
P5 0.620 0.750 0.000 1
P6 0.620 0.750 0.500 1
P7 0.869 0.250 0.000 1
P8 0.869 0.250 0.500 1
H1 0.123 0.084 0.750 1
H2 0.123 0.416 0.250 1
H3 0.877 0.584 0.750 1
H4 0.877 0.916 0.250 1
```

Output
Theoretical density, g cm⁻³: 10.15
Total magnetic moment, μB per formula unit: 7.0
ΔE to the lowest computed polymorph, kJ per mole of atoms: 1.7

Below is a relaxed structure of BaIr2Br, with properties calculated at the GGA-PBE level.

Geometry as CIF:
```
data_BaIr2Br
_cell_length_a 3.220
_cell_length_b 3.220
_cell_length_c 8.188
_cell_angle_alpha 90.00
_cell_angle_beta 90.00
_cell_angle_gamma 90.00
_symmetry_space_group_name_H-M 'P 1'
_symmetry_Int_Tables_number 1
loop_
_symmetry_equiv_pos_as_xyz
'x,y,z'
loop_
_atom_site_label
_atom_site_fract_x
_atom_site_fract_y
_atom_site_fract_z
_atom_site_occupancy
Ba1 0.000 0.000 0.000 1
Ir1 0.500 0.500 0.306 1
Ir2 0.500 0.500 0.694 1
Br1 0.000 0.000 0.500 1
```

Output
Theoretical density, g cm⁻³: 11.77
Total magnetic moment, μB per formula unit: 0.0
ΔE to the lowest computed polymorph, kJ per mole of atoms: 108.6
Formation energy (no corrections), eV per formula unit: 3.73

Below is a relaxed structure of ErMgSb3, with properties calculated at the GGA-PBE level.

Geometry as CIF:
```
data_ErMgSb3
_cell_length_a 13.456
_cell_length_b 6.182
_cell_length_c 6.257
_cell_angle_alpha 90.00
_cell_angle_beta 90.00
_cell_angle_gamma 90.00
_symmetry_space_group_name_H-M 'P 1'
_symmetry_Int_Tables_number 1
loop_
_symmetry_equiv_pos_as_xyz
'x,y,z'
loop_
_atom_site_label
_atom_site_fract_x
_atom_site_fract_y
_atom_site_fract_z
_atom_site_occupancy
Er1 0.176 0.010 0.250 1
Er2 0.176 0.490 0.750 1
Er3 0.824 0.510 0.250 1
Er4 0.824 0.990 0.750 1
Mg1 0.392 0.750 0.000 1
Mg2 0.392 0.750 0.500 1
Mg3 0.608 0.250 0.000 1
Mg4 0.608 0.250 0.500 1
Sb1 0.003 0.750 0.000 1
Sb2 0.003 0.750 0.500 1
Sb3 0.240 0.000 0.750 1
Sb4 0.240 0.500 0.250 1
Sb5 0.416 0.182 0.250 1
Sb6 0.416 0.318 0.750 1
Sb7 0.584 0.682 0.250 1
Sb8 0.584 0.818 0.750 1
Sb9 0.760 0.000 0.250 1
Sb10 0.760 0.500 0.750 1
Sb11 0.997 0.250 0.000 1
Sb12 0.997 0.250 0.500 1
```

Output
Theoretical density, g cm⁻³: 7.11
Total magnetic moment, μB per formula unit: 0.0
Formation energy (no corrections), eV per formula unit: -2.43

Below is a relaxed structure of ZrCo2Te, with properties calculated at the GGA-PBE level.

Geometry as CIF:
```
data_ZrCo2Te
_cell_length_a 5.722
_cell_length_b 5.722
_cell_length_c 5.722
_cell_angle_alpha 40.61
_cell_angle_beta 40.61
_cell_angle_gamma 40.61
_symmetry_space_group_name_H-M 'P 1'
_symmetry_Int_Tables_number 1
loop_
_symmetry_equiv_pos_as_xyz
'x,y,z'
loop_
_atom_site_label
_atom_site_fract_x
_atom_site_fract_y
_atom_site_fract_z
_atom_site_occupancy
Zr1 0.000 0.000 0.000 1
Co1 0.424 0.424 0.424 1
Co2 0.785 0.785 0.785 1
Te1 0.202 0.202 0.202 1
```

Output
Theoretical density, g cm⁻³: 7.81
Total magnetic moment, μB per formula unit: 2.7
Formation energy (no corrections), eV per formula unit: -0.52